Entry 1:
# MnHg2Mo

A relaxed structure of MnHg2Mo (PBE, Alexandria via LeMat-Bulk).

As for the space group: No. 225. The total energy is -16.92 eV per cell. The crystal system is cubic.

abc: 4.5746 4.5746 4.5746
angles: 60.00 60.00 60.00
Closest atoms and distances in Å follow each position.
Sites, in units of the cell vectors:
Hg  0.2500  0.2500  0.2500  4 Mn 2.80, 4 Mo 2.80
Hg  0.7500  0.7500  0.7500  4 Mn 2.80, 4 Mo 2.80
Mn  0.0000  0.0000  0.0000  8 Hg 2.80
Mo  0.5000  0.5000  0.5000  8 Hg 2.80


Entry 2:
# Mn2HgMo

A relaxed structure of Mn2HgMo (PBE, Alexandria via LeMat-Bulk).

As for the space group: No. 166. The total energy is -27.87 eV per cell. The crystal system is trigonal.

abc: 8.7859 8.7859 8.7859
angles: 19.41 19.41 19.41
Closest atoms and distances in Å follow each position.
Sites, in units of the cell vectors:
Hg  0.7500  0.7500  0.7500  6 Mn 2.91, 6 Hg 2.96
Mo  0.2500  0.2500  0.2500  6 Mn 2.60
Mn  0.5077  0.5077  0.5077  3 Mo 2.60
Mn  0.9923  0.9923  0.9923  3 Mo 2.60


Entry 3:
# MnHg2Mo

A relaxed structure of MnHg2Mo (PBE, Alexandria via LeMat-Bulk).

As for the space group: No. 6. The total energy is -19.13 eV per cell. The crystal system is monoclinic.

abc: 3.0867 3.0629 8.2842
angles: 68.12 90.00 90.00
Closest atoms and distances in Å follow each position.
Sites, in units of the cell vectors:
Mo  0.5000  0.8009  0.6996  4 Mn 2.50-2.51
Hg  0.5000  0.2148  0.2875  4 Mn 2.90, 8 Hg 3.06-3.25, 1 Mo 3.17
Hg  0.0000  0.0222  0.9752  4 Mo 3.03-3.04, 8 Hg 3.06-3.25, 1 Mn 3.36
Mn  0.0000  0.4622  0.5376  4 Mo 2.50-2.51


Entry 4:
# MnHgMo

A relaxed structure of MnHgMo (PBE, Alexandria via LeMat-Bulk).

As for the space group: No. 107. The total energy is -18.94 eV per cell. The crystal system is tetragonal.

abc: 6.7033 6.7033 6.7033
angles: 155.83 155.83 34.44
Closest atoms and distances in Å follow each position.
Sites, in units of the cell vectors:
Hg  0.9967  0.9967  0.0000  4 Hg 2.81, 4 Mn 2.96, 4 Mo 3.05
Mo  0.6776  0.6776  0.0000  4 Mn 2.74, 4 Mo 2.81, 4 Hg 3.05
Mn  0.3257  0.3257  0.0000  4 Mo 2.74, 4 Mn 2.81, 4 Hg 2.96


| no. | formation enthalpy at 0 K (meV/atom) |
| --- | --- |
| 1 | 920 |
| 2 | 402 |
| 3 | 369 |
| 4 | 455 |